No. 1
The following is a PBE calculation of a relaxed Dy4HgPb2 crystal, from Alexandria.

Structure (POSCAR):
```
Dy4HgPb2
1.0
7.3173 0.0000 0.0000
0.0000 6.5885 0.0000
-3.4894 0.0000 8.6913
Dy Hg Pb
8 2 4
Direct
0.0410 0.2500 0.4486 Dy
0.0544 0.2500 0.8486 Dy
0.4563 0.0043 0.7668 Dy
0.4563 0.4957 0.7668 Dy
0.5437 0.5043 0.2332 Dy
0.5437 0.9957 0.2332 Dy
0.9456 0.7500 0.1514 Dy
0.9590 0.7500 0.5514 Dy
0.1970 0.2500 0.1954 Hg
0.8030 0.7500 0.8046 Hg
0.2391 0.7500 0.9448 Pb
0.3326 0.7500 0.4447 Pb
0.6674 0.2500 0.5553 Pb
0.7609 0.2500 0.0552 Pb
```

Energy of formation from the pure elements, eV/atom: -0.284

=====

No. 2
The following is a PBE calculation of a relaxed Ho4TePd2 crystal, from Alexandria.

Structure (POSCAR):
```
Ho4TePd2
1.0
6.0292 -6.1260 0.0000
6.0292 6.1260 0.0000
-6.0054 0.0000 6.0620
Ho Te Pd
8 2 4
Direct
0.1946 0.2341 0.4640 Ho
0.2300 0.7694 0.9641 Ho
0.2306 0.7700 0.5359 Ho
0.2341 0.1946 0.9640 Ho
0.7659 0.8054 0.0360 Ho
0.7694 0.2300 0.4641 Ho
0.7700 0.2306 0.0359 Ho
0.8054 0.7659 0.5360 Ho
0.3759 0.6241 0.2500 Te
0.6241 0.3759 0.7500 Te
0.0000 0.0000 0.0000 Pd
0.0000 0.0000 0.5000 Pd
0.0000 0.5000 0.5000 Pd
0.5000 0.0000 0.0000 Pd
```

Uncorrected formation energy, eV/atom: -0.71

=====

No. 3
The following is a PBE calculation of a relaxed Pr3CdTe2 crystal, from Alexandria.

Structure (POSCAR):
```
Pr3CdTe2
1.0
-2.2062 3.2019 6.9603
2.2062 -3.2019 6.9603
2.2062 3.2019 -6.9603
Pr Cd Te
3 1 2
Direct
0.0000 0.0000 0.0000 Pr
0.3300 0.3300 0.0000 Pr
0.6700 0.6700 0.0000 Pr
0.5000 0.0000 0.5000 Cd
0.1659 0.6659 0.5000 Te
0.8341 0.3341 0.5000 Te
```

Uncorrected formation energy, eV/atom: -1.05